4
Lattice="3.325 -4.288 0.000 3.325 4.288 0.000 0.000 0.000 3.296" Properties=species:S:1:pos:R:3 comment="YZrTl2, PBEsol geometry, DFT meta-GGA SCAN" energy_ev_per_atom=-51.19 density_g_cm3=10.40 ef_mev_per_atom=-378 pbc="T T T"
Y 0.000 0.000 0.000
Zr 3.325 0.000 0.000
Tl 1.663 2.144 1.648
Tl 1.663 -2.144 1.648